This record from Alexandria via LeMat-Bulk describes crystalline CaMg22Ag6 at its relaxed geometry. The functional is PBE.

Calculated values
Crystal system   cubic
ΔE_f   -0.07 eV per atom
Space group   Fm-3m, No. 225
DFT total energy   -1.940 eV/atom
V   668.4 Å³/f.u.

Lattice parameters (Å, degrees): 9.814 9.814 9.814 60.00 60.00 60.00
Element x y z (fractional)
Mg1 0.750 0.750 0.750
Mg2 0.000 0.349 0.651
Mg3 0.382 0.382 0.382
Ca1 0.000 0.000 0.000
Mg4 0.618 0.146 0.618
Mg5 0.000 0.000 0.651
Mg6 0.250 0.250 0.250
Ag1 0.736 0.264 0.736
Mg7 0.000 0.651 0.000
Mg8 0.651 0.349 0.000
Ag2 0.736 0.736 0.264
Mg9 0.382 0.854 0.382
Mg10 0.349 0.000 0.000
Mg11 0.618 0.618 0.618
Ag3 0.264 0.736 0.264
Ag4 0.264 0.264 0.736
Mg12 0.854 0.382 0.382
Mg13 0.349 0.651 0.000
Mg14 0.618 0.618 0.146
Mg15 0.000 0.651 0.349
Ag5 0.264 0.736 0.736
Ag6 0.736 0.264 0.264
Mg16 0.651 0.000 0.000
Mg17 0.382 0.382 0.854
Mg18 0.000 0.349 0.000
Mg19 0.000 0.000 0.349
Mg20 0.349 0.000 0.651
Mg21 0.651 0.000 0.349
Mg22 0.146 0.618 0.618

***

This record from Alexandria via LeMat-Bulk describes crystalline CaMg2AgN at its relaxed geometry. The functional is PBE.

Calculated values
Crystal system   tetragonal
Space group   P4/mmm, No. 123
DFT total energy   -3.681 eV/atom
Energy relative to the elements, uncorrected   -0.41 eV per atom
V   92.2 Å³/f.u.

Lattice parameters (Å, degrees): 4.374 4.374 4.821 90.00 90.00 90.00
Element x y z (fractional)
Mg1 0.000 0.500 0.000
Ca1 0.000 0.000 0.500
Mg2 0.500 0.000 0.000
N1 0.000 0.000 0.000
Ag1 0.500 0.500 0.500

***

This record from Alexandria via LeMat-Bulk describes crystalline NaCaMgAg at its relaxed geometry. The functional is PBE.

Calculated values
Crystal system   cubic
ΔE_f   -0.07 eV per atom
Space group   F-43m, No. 216
DFT total energy   -2.012 eV/atom
V   101.0 Å³/f.u.

Lattice parameters (Å, degrees): 5.226 5.226 5.226 60.00 60.00 60.00
Element x y z (fractional)
Mg1 0.500 0.500 0.500
Ag1 0.750 0.750 0.750
Na1 0.250 0.250 0.250
Ca1 0.000 0.000 0.000

***

This record from Alexandria via LeMat-Bulk describes crystalline CaNdMgAg at its relaxed geometry. The functional is PBE.

Calculated values
Crystal system   tetragonal
Excess energy over the best structure of this formula in the dataset   0.000 eV/atom
ΔE_f   -0.19 eV per atom
Space group   P4mm, No. 99
DFT total energy   -2.991 eV/atom
V   112.0 Å³/f.u.

Lattice parameters (Å, degrees): 3.809 3.809 7.719 90.00 90.00 90.00
Site moments in Bohr magnetons follow the coordinates.
Element x y z (fractional)
Ag1 0.500 0.500 0.610  0.01
Ca1 0.000 0.000 0.373  0.00
Mg1 0.500 0.500 0.103  0.01
Nd1 0.000 0.000 0.842  0.14